*A*
Here is a relaxed Tm2ThMg crystal from the Alexandria database. Energies are from PBE-GGA.

a b c (Å): 3.5565 3.5565 9.1603
angles (deg): 90.00 90.00 90.00
Positions (direct):
Tm: 0.0000 0.0000 0.2394
Tm: 0.0000 0.0000 0.7606
Th: 0.5000 0.5000 0.5000
Mg: 0.5000 0.5000 0.0000



*B*
Here is a relaxed Tm2ThMg crystal from the Alexandria database. Energies are from PBE-GGA.

a b c (Å): 7.7818 7.7818 7.7818
angles (deg): 90.00 90.00 90.00
Positions (direct):
Tm: 0.2500 0.2500 0.2500
Tm: 0.2500 0.2500 0.7500
Tm: 0.2500 0.7500 0.2500
Tm: 0.2500 0.7500 0.7500
Tm: 0.7500 0.2500 0.2500
Tm: 0.7500 0.2500 0.7500
Tm: 0.7500 0.7500 0.2500
Tm: 0.7500 0.7500 0.7500
Th: 0.0000 0.0000 0.0000
Th: 0.0000 0.5000 0.5000
Th: 0.5000 0.0000 0.5000
Th: 0.5000 0.5000 0.0000
Mg: 0.0000 0.0000 0.5000
Mg: 0.0000 0.5000 0.0000
Mg: 0.5000 0.0000 0.0000
Mg: 0.5000 0.5000 0.5000



*C*
Here is a relaxed Tm2ThMg crystal from the Alexandria database. Energies are from PBE-GGA.

a b c (Å): 4.8663 4.8663 4.9309
angles (deg): 90.00 90.00 90.00
Positions (direct):
Tm: 0.0000 0.5000 0.0000
Tm: 0.5000 0.0000 0.0000
Th: 0.0000 0.0000 0.5000
Mg: 0.5000 0.5000 0.5000



*D*
Here is a relaxed Tm2ThMg crystal from the Alexandria database. Energies are from PBE-GGA.

a b c (Å): 3.5155 3.5155 33.0141
angles (deg): 90.00 90.00 120.00
Positions (direct):
Tm: 0.0000 0.0000 0.2483
Tm: 0.0000 0.0000 0.7517
Tm: 0.3333 0.6667 0.4184
Tm: 0.3333 0.6667 0.9149
Tm: 0.6667 0.3333 0.0851
Tm: 0.6667 0.3333 0.5816
Th: 0.0000 0.0000 0.0000
Th: 0.3333 0.6667 0.6667
Th: 0.6667 0.3333 0.3333
Mg: 0.0000 0.0000 0.5000
Mg: 0.3333 0.6667 0.1667
Mg: 0.6667 0.3333 0.8333



*A* is the most stable structure; the next one sits 42 meV per atom above it.



*A*
Here is a relaxed YTmThMg crystal from the Alexandria database. Energies are from PBE-GGA.

a b c (Å): 3.5833 3.5833 9.1644
angles (deg): 90.00 90.00 90.00
Positions (direct):
Y: 0.0000 0.0000 0.0000
Tm: 0.0000 0.0000 0.4768
Th: 0.5000 0.5000 0.7347
Mg: 0.5000 0.5000 0.2423



*B*
Here is a relaxed YTmThMg crystal from the Alexandria database. Energies are from PBE-GGA.

a b c (Å): 7.7944 7.7944 7.7944
angles (deg): 90.00 90.00 90.00
Positions (direct):
Y: 0.0000 0.0000 0.0000
Y: 0.0000 0.5000 0.5000
Y: 0.5000 0.0000 0.5000
Y: 0.5000 0.5000 0.0000
Tm: 0.2500 0.2500 0.7500
Tm: 0.2500 0.7500 0.2500
Tm: 0.7500 0.2500 0.2500
Tm: 0.7500 0.7500 0.7500
Th: 0.0000 0.0000 0.5000
Th: 0.0000 0.5000 0.0000
Th: 0.5000 0.0000 0.0000
Th: 0.5000 0.5000 0.5000
Mg: 0.2500 0.2500 0.2500
Mg: 0.2500 0.7500 0.7500
Mg: 0.7500 0.2500 0.7500
Mg: 0.7500 0.7500 0.2500



*A* is the most stable structure; the next one sits 129 meV per atom above it.